Record 1
{"formula": "RbTcTe2I", "functional": "GGA-PBE", "state": "relaxed", "cell": [[6.224, 0.000, 0.000], [0.000, 6.224, 0.000], [0.000, 0.000, 6.387]], "species": ["Te", "Te", "Tc", "I", "Rb"], "frac_coords": [[0.500, 0.000, 0.000], [0.000, 0.500, 0.000], [0.500, 0.500, 0.500], [0.000, 0.000, 0.500], [0.000, 0.000, 0.000]], "spacegroup": "P4/mmm (123)", "final_energy_ev_per_atom": -2.36, "e_form_raw_kcal_per_mol_atoms": 33.89, "e_above_lowest_polymorph_mev_per_atom": 1622, "magnetic_moment_mub_per_atom": 0.96}

Record 2
{"formula": "Hf4BiPb", "functional": "GGA-PBE", "state": "relaxed", "cell": [[-1.172, 3.444, 4.235], [-2.848, -0.055, -4.802], [-3.320, -3.602, 2.010]], "species": ["Hf", "Hf", "Hf", "Hf", "Bi", "Pb"], "frac_coords": [[0.835, 0.165, 0.500], [0.165, 0.835, 0.500], [0.666, 0.334, 0.000], [0.334, 0.666, 0.000], [0.500, 0.500, 0.500], [0.000, 0.000, 0.000]], "spacegroup": "Cmmm (65)", "final_energy_ev_per_atom": -7.99, "e_above_lowest_polymorph_mev_per_atom": 0, "magnetic_moment_mub_per_atom": 0.00, "ef_ev_per_atom": -0.087}